ZrSbMo2 after structural relaxation. Source: Alexandria, functional PBEsol.

For the raw formation energy, the calculation gives -8 kJ per mole of atoms. For the total magnetization, the calculation gives 0.00 Bohr magnetons per cell. The density of states at the Fermi level is 7.31 states/eV/cell. Its volume is 141.5 Å³/cell. As for the theoretical density: 9.5 g cm⁻³.

It has space group Imm2 (No. 44), with a = 3.408 Å, b = 4.495 Å, c = 9.236 Å, α = 90.00°, β = 90.00° and γ = 90.00°. The distinct sites, in fractional coordinates, are Zr at (0.000, 0.000, 0.000), Sb at (0.000, 0.500, 0.231), Mo at (0.000, 0.000, 0.481) and Mo at (0.000, 0.500, 0.753).